[1]
{"formula": "Re2B2As", "functional": "PBE", "state": "relaxed", "delta_e_f_ev_per_atom": 0.373, "de_polymorph_ev_per_atom": 0.348, "volume_a3_per_cell": 120.4, "cell": [[6.491, 0.000, 0.000], [0.000, 6.491, 0.000], [0.000, 0.000, 2.858]], "species": ["B", "B", "B", "B", "Re", "Re", "Re", "Re", "As", "As"], "fractional_positions": [[0.125, 0.625, 0.500], [0.625, 0.875, 0.500], [0.875, 0.375, 0.500], [0.375, 0.125, 0.500], [0.349, 0.849, 0.000], [0.849, 0.651, 0.000], [0.651, 0.151, 0.000], [0.151, 0.349, 0.000], [0.000, 0.000, 0.000], [0.500, 0.500, 0.000]]}

=====

[2]
{"formula": "Na2PuCuSe4", "functional": "PBE", "state": "relaxed", "e_form_raw_ev_per_fu": -7.1, "volume_a3_per_cell": 390.1, "cell": [[-6.185, 4.130, -3.709], [-0.312, -6.370, -5.328], [-0.265, -1.411, 8.188]], "species": ["Cu", "Cu", "Se", "Se", "Se", "Se", "Se", "Se", "Se", "Se", "Na", "Na", "Na", "Na", "Pu", "Pu"], "fractional_positions": [[0.000, 0.000, 0.000], [0.500, 0.500, 0.500], [0.744, 0.274, 0.009], [0.238, 0.262, 0.443], [0.238, 0.262, 0.057], [0.774, 0.244, 0.509], [0.256, 0.726, 0.991], [0.762, 0.738, 0.557], [0.226, 0.756, 0.491], [0.762, 0.738, 0.943], [0.500, 0.000, 0.000], [0.000, 0.000, 0.500], [0.500, 0.000, 0.500], [0.500, 0.500, 0.000], [0.000, 0.500, 0.500], [0.000, 0.500, 0.000]]}

=====

[3]
{"formula": "Sm8GaCo3Br4", "functional": "PBE", "state": "relaxed", "e_form_raw_ev_per_fu": -11.7, "volume_a3_per_cell": 432.9, "cell": [[-0.382, 0.368, -8.066], [-5.801, -6.837, -0.037], [-2.000, 6.446, 4.439]], "species": ["Sm", "Sm", "Sm", "Sm", "Sm", "Sm", "Sm", "Sm", "Br", "Br", "Br", "Br", "Co", "Co", "Co", "Ga"], "fractional_positions": [[0.242, 0.696, 0.484], [0.242, 0.696, 0.955], [0.268, 0.304, 0.536], [0.732, 0.696, 0.464], [0.287, 0.304, 0.045], [0.713, 0.696, 0.955], [0.758, 0.304, 0.516], [0.758, 0.304, 0.045], [0.500, 0.000, 0.500], [0.000, 0.000, 0.000], [0.000, 0.000, 0.500], [0.500, 0.000, 0.000], [0.500, 0.500, 0.000], [0.500, 0.500, 0.500], [0.000, 0.500, 0.500], [0.000, 0.500, 0.000]]}

=====

[4]
{"formula": "Li3AcGa", "functional": "PBE", "state": "relaxed", "delta_e_f_ev_per_atom": -0.040, "de_polymorph_ev_per_atom": 0.085, "volume_a3_per_cell": 119.9, "cell": [[-0.263, 4.921, -0.166], [-4.657, -0.303, -1.594], [-1.601, 0.072, 4.663]], "species": ["Li", "Li", "Li", "Ac", "Ga"], "fractional_positions": [[0.500, 0.000, 0.000], [0.000, 0.000, 0.500], [0.000, 0.500, 0.000], [0.500, 0.500, 0.500], [0.000, 0.000, 0.000]]}

=====

[5]
{"formula": "RbSn4", "functional": "PBE", "state": "relaxed", "delta_e_f_ev_per_atom": 1.262, "volume_a3_per_cell": 214.5, "cell": [[5.986, 0.000, 0.000], [0.000, 5.986, 0.000], [0.000, 0.000, 5.986]], "species": ["Rb", "Sn", "Sn", "Sn", "Sn"], "fractional_positions": [[0.500, 0.500, 0.500], [0.000, 0.500, 0.500], [0.000, 0.000, 0.000], [0.500, 0.500, 0.000], [0.500, 0.000, 0.500]]}

=====

[6]
{"formula": "Li2CaNd", "functional": "PBE", "state": "relaxed", "delta_e_f_ev_per_atom": 0.152, "de_polymorph_ev_per_atom": 0.063, "volume_a3_per_cell": 124.0, "cell": [[-1.468, 1.032, -3.099], [-1.629, -2.401, -2.100], [-10.693, 1.523, 3.510]], "species": ["Li", "Li", "Nd", "Ca"], "fractional_positions": [[0.084, 0.084, 0.747], [0.249, 0.249, 0.254], [0.500, 0.500, 0.500], [0.667, 0.667, 0.999]]}

=====

[7]
{"formula": "K2Sn3O8", "functional": "PBE", "state": "relaxed", "e_form_raw_ev_per_fu": -18.1, "volume_a3_per_cell": 226.6, "cell": [[-2.516, 2.274, 4.503], [-5.071, 1.305, -3.492], [1.082, -7.280, 1.380]], "species": ["K", "K", "O", "O", "O", "O", "O", "O", "O", "O", "Sn", "Sn", "Sn"], "fractional_positions": [[0.305, 0.274, 0.549], [0.695, 0.726, 0.451], [0.063, 0.411, 0.822], [0.615, 0.698, 0.810], [0.103, 0.915, 0.831], [0.937, 0.589, 0.178], [0.615, 0.112, 0.810], [0.385, 0.888, 0.190], [0.897, 0.085, 0.169], [0.385, 0.302, 0.190], [0.000, 0.255, 0.000], [0.500, 0.000, 0.000], [0.000, 0.745, 0.000]]}

=====

[8]
{"formula": "PuU2O7", "functional": "PBE", "state": "relaxed", "e_form_raw_ev_per_fu": -31.7, "volume_a3_per_cell": 131.7, "cell": [[3.770, 0.000, 0.662], [1.827, 3.298, 0.662], [0.079, 0.046, 10.611]], "species": ["U", "U", "O", "O", "O", "O", "O", "O", "O", "Pu"], "fractional_positions": [[0.933, 0.933, 0.200], [0.067, 0.067, 0.800], [0.280, 0.280, 0.159], [0.424, 0.424, 0.729], [0.139, 0.139, 0.583], [0.861, 0.861, 0.417], [0.000, 0.000, 0.000], [0.720, 0.720, 0.841], [0.576, 0.576, 0.271], [0.500, 0.500, 0.500]]}